Entry 1:
Computed, not measured: an optimized crystal structure of Rb2LaBr5 at the PBE-GGA level of DFT.

Lattice parameters (Å, degrees): 8.8350 9.5126 14.1542 90.00 90.00 90.00
Fractional coordinates of all 32 atoms:
Br1 0.8777 0.2500 0.3230
Br2 0.6223 0.2500 0.8230
Br3 0.1572 0.2500 0.6996
Br4 0.0867 0.2500 0.9897
Br5 0.9133 0.7500 0.0103
Br6 0.8367 0.4572 0.5748
Br7 0.3367 0.9572 0.9252
Br8 0.5867 0.7500 0.5103
Br9 0.6633 0.0428 0.0748
Br10 0.1633 0.9572 0.4252
Br11 0.3428 0.2500 0.1996
Br12 0.1223 0.7500 0.6770
Br13 0.6633 0.4572 0.0748
Br14 0.8367 0.0428 0.5748
Br15 0.1633 0.5428 0.4252
Br16 0.8428 0.7500 0.3004
Br17 0.4133 0.2500 0.4897
Br18 0.6572 0.7500 0.8004
Br19 0.3367 0.5428 0.9252
Br20 0.3777 0.7500 0.1770
La1 0.4277 0.2500 0.9951
La2 0.9277 0.7500 0.5049
La3 0.0723 0.2500 0.4951
La4 0.5723 0.7500 0.0049
Rb1 0.5544 0.4961 0.3281
Rb2 0.0544 0.5039 0.1719
Rb3 0.0544 0.9961 0.1719
Rb4 0.5544 0.0039 0.3281
Rb5 0.9456 0.0039 0.8281
Rb6 0.4456 0.9961 0.6719
Rb7 0.9456 0.4961 0.8281
Rb8 0.4456 0.5039 0.6719

Properties
Space group: Pnma, No. 62
Distance to the lowest polymorph of the same formula (meV per atom): 0
Uncorrected formation energy (eV/atom): -1.9187

Entry 2:
Computed, not measured: an optimized crystal structure of RbLa2Br7 at the PBE-GGA level of DFT.

Lattice parameters (Å, degrees): 5.8757 8.8414 8.8414 115.97 90.00 90.00
Fractional coordinates of all 10 atoms:
La1 0.5000 0.6982 0.3018
La2 0.5000 0.3018 0.6982
Br1 0.5000 0.5000 0.5000
Br2 0.0000 0.2863 0.7137
Br3 0.5000 0.9489 0.6753
Br4 0.5000 0.6753 0.9489
Br5 0.5000 0.3247 0.0511
Br6 0.0000 0.7137 0.2863
Br7 0.5000 0.0511 0.3247
Rb1 0.0000 0.0000 0.0000

Properties
Space group: Cmmm, No. 65
Uncorrected formation energy (eV/atom): -1.9338

Entry 3:
Computed, not measured: an optimized crystal structure of Rb2LaBr7 at the PBE-GGA level of DFT.

Lattice parameters (Å, degrees): 9.1588 9.1588 8.4887 57.35 57.35 90.00
Fractional coordinates of all 10 atoms:
Rb1 0.7500 0.2500 0.5000
Rb2 0.2500 0.7500 0.5000
Br1 0.7289 0.7289 0.5421
Br2 0.5000 0.5000 0.0000
Br3 0.2231 0.2231 0.0000
Br4 0.2231 0.7769 0.0000
Br5 0.7769 0.7769 0.0000
Br6 0.7769 0.2231 0.0000
Br7 0.2711 0.2711 0.4579
La1 0.0000 0.0000 0.0000

Properties
Space group: I4/mmm, No. 139
Uncorrected formation energy (eV/atom): -1.3741

Entry 4:
Computed, not measured: an optimized crystal structure of Rb2LaBr5 at the PBE-GGA level of DFT.

Lattice parameters (Å, degrees): 8.3974 8.7696 8.9995 131.24 117.81 90.00
Fractional coordinates of all 8 atoms:
Br1 0.2077 0.7225 0.9722
Br2 0.8585 0.3093 0.1975
Br3 0.7523 0.8510 0.5045
Br4 0.7645 0.7226 0.9722
Br5 0.3390 0.3093 0.1975
Rb1 0.7040 0.1717 0.4080
Rb2 0.1808 0.7291 0.3615
La1 0.9702 0.9615 0.9405

Properties
Space group: Cm, No. 8
Distance to the lowest polymorph of the same formula (meV per atom): 113
Uncorrected formation energy (eV/atom): -1.8059

Size of the total moment across the listed records, respectively: 0.00, 0.00, 0.00, 0.00 Bohr magnetons per cell.